The following is a DFT calculation (PBEsol) of a relaxed structure of HfAlIrO2. Values from VASP.

Values from the calculation:
E_form (uncorrected): -0.60 eV/atom
Space-group type: P4/mmm
DOS at the Fermi energy: 3.0 states/eV per cell
Spin magnetization: 0.23 μB per cell

Cell and atoms, written as Quantum ESPRESSO input:
```
&SYSTEM
  ibrav = 0, nat = 5, ntyp = 4
/
ATOMIC_SPECIES
Ir 192.22 Ir.upf
Hf 178.49 Hf.upf
Al 26.98 Al.upf
O 16.00 O.upf
CELL_PARAMETERS angstrom
3.556 0.000 0.000
0.000 3.556 0.000
0.000 0.000 7.253
ATOMIC_POSITIONS crystal
Ir 0.500 0.500 0.500
Hf 0.000 0.000 0.500
Al 0.000 0.000 0.000
O 0.000 0.500 0.000
O 0.500 0.000 0.000
```